{"formula": "GeMoIO2", "functional": "PBE with a Hubbard U", "state": "relaxed", "e_above_lowest_polymorph_mev_per_atom": 0, "spacegroup": "P4/mmm, No. 123", "cell": [[3.9881, 0.0000, 0.0000], [0.0000, 3.9881, 0.0000], [0.0000, 0.0000, 7.5859]], "species": ["Ge", "Mo", "I", "O", "O"], "frac_coords": [[0.0000, 0.0000, 0.0000], [0.5000, 0.5000, 0.5000], [0.5000, 0.5000, 0.0000], [0.0000, 0.5000, 0.5000], [0.5000, 0.0000, 0.5000]]}